Below is CaCdP2 after structural relaxation, with properties calculated at the GGA-PBE level.

Summary:
Its crystal system is tetragonal. The mass density is 4.10 g/cm³. The value obtained for the formation enthalpy at 0 K is -0.2636 eV per atom. The space group is I-42d (122). The value obtained for the volume is 173.7 Å³ per cell.

Unit cell a=7.517 b=7.517 c=6.140 alpha=52.26 beta=52.26 gamma=90.00
Fractional coordinates of all 8 atoms:
1 P 0.656 0.125 0.250
2 P 0.094 0.625 0.250
3 P 0.375 0.344 0.750
4 P 0.875 0.906 0.750
5 Ca 0.250 0.750 0.500
6 Cd 0.750 0.250 0.500
7 Ca 0.500 0.500 0.000
8 Cd 0.000 0.000 0.000

---

Below is Ca3CdP after structural relaxation, with properties calculated at the GGA-PBE level.

Summary:
Its crystal system is orthorhombic. The mass density is 1.73 g/cm³. The value obtained for the formation enthalpy at 0 K is -0.2183 eV per atom. The space group is Amm2 (38). The value obtained for the volume is 252.3 Å³ per cell. The value obtained for the offset from the most stable computed form is 439.7 meV per atom.

Unit cell a=3.995 b=9.031 c=9.031 alpha=129.23 beta=90.00 gamma=90.00
Fractional coordinates of all 5 atoms:
1 Ca 0.500 0.679 0.801
2 Cd 0.500 0.093 0.907
3 Ca 0.500 0.199 0.321
4 Ca 0.000 0.245 0.755
5 P 0.000 0.412 0.588

---

Below is CaCdP2 after structural relaxation, with properties calculated at the GGA-PBE level.

Summary:
Its crystal system is tetragonal. The mass density is 4.47 g/cm³. The value obtained for the formation enthalpy at 0 K is -0.2586 eV per atom. The space group is P4/mmm (123). The value obtained for the volume is 79.7 Å³ per cell.

Unit cell a=4.518 b=4.518 c=3.904 alpha=90.00 beta=90.00 gamma=90.00
Fractional coordinates of all 4 atoms:
1 Cd 0.000 0.500 0.500
2 Ca 0.500 0.000 0.500
3 P 0.000 0.000 0.000
4 P 0.500 0.500 0.000

---

Below is Ca3CdP after structural relaxation, with properties calculated at the GGA-PBE level.

Summary:
Its crystal system is tetragonal. The mass density is 2.89 g/cm³. The value obtained for the formation enthalpy at 0 K is -0.6488 eV per atom. The space group is P4/mmm (123). The value obtained for the volume is 303.4 Å³ per cell. The value obtained for the offset from the most stable computed form is 9.1 meV per atom.

Unit cell a=4.060 b=8.137 c=9.183 alpha=90.00 beta=90.00 gamma=90.00
Fractional coordinates of all 10 atoms:
1 Ca 0.118 0.905 0.493
2 Cd 0.618 0.154 0.295
3 P 0.118 0.404 0.795
4 P 0.118 0.904 0.795
5 Ca 0.618 0.654 0.794
6 Ca 0.618 0.154 0.795
7 Cd 0.618 0.654 0.295
8 Ca 0.118 0.404 0.493
9 Ca 0.118 0.904 0.097
10 Ca 0.118 0.405 0.097

---

Below is CaCd2PPb after structural relaxation, with properties calculated at the GGA-PBE level.

Summary:
Its crystal system is tetragonal. The mass density is 4.61 g/cm³. The value obtained for the formation enthalpy at 0 K is 0.5430 eV per atom. The space group is P4/mmm (123). The value obtained for the volume is 181.0 Å³ per cell.

Unit cell a=5.425 b=6.151 c=5.425 alpha=90.00 beta=90.00 gamma=90.00
Each line ends with the local moment (μB).
Fractional coordinates of all 5 atoms:
1 Cd 0.500 0.000 0.000  0.01
2 Ca 0.000 0.500 0.000  0.00
3 Pb 0.000 0.000 0.000  0.03
4 Cd 0.000 0.000 0.500  -0.01
5 P 0.500 0.500 0.500  0.42

---

Below is CaCdP2Pd5 after structural relaxation, with properties calculated at the GGA-PBE level.

Summary:
Its crystal system is tetragonal. The mass density is 8.12 g/cm³. The value obtained for the formation enthalpy at 0 K is -0.5589 eV per atom. The space group is P4/mmm (123). The value obtained for the volume is 152.7 Å³ per cell.

Unit cell a=4.443 b=4.443 c=7.734 alpha=90.00 beta=90.00 gamma=90.00
Fractional coordinates of all 9 atoms:
1 Cd 0.000 0.000 0.000
2 Pd 0.000 0.500 0.247
3 Ca 0.000 0.000 0.500
4 P 0.500 0.500 0.855
5 Pd 0.500 0.000 0.247
6 Pd 0.500 0.500 0.500
7 Pd 0.500 0.000 0.753
8 Pd 0.000 0.500 0.753
9 P 0.500 0.500 0.145

---

Below is Ca3CdP2Pd9 after structural relaxation, with properties calculated at the GGA-PBE level.

Summary:
Its crystal system is trigonal. The mass density is 6.53 g/cm³. The value obtained for the formation enthalpy at 0 K is -0.5992 eV per atom. The space group is P-3m1 (164). The value obtained for the volume is 318.4 Å³ per cell.

Unit cell a=6.030 b=6.030 c=10.111 alpha=90.00 beta=90.00 gamma=120.00
Fractional coordinates of all 15 atoms:
1 Pd 0.848 0.152 0.725
2 Pd 0.303 0.152 0.725
3 Ca 0.333 0.667 0.712
4 Pd 0.152 0.848 0.275
5 Ca 0.667 0.333 0.288
6 Pd 0.500 0.000 0.000
7 Cd 0.000 0.000 0.500
8 Pd 0.500 0.500 0.000
9 P 0.667 0.333 0.845
10 Ca 0.000 0.000 0.000
11 Pd 0.848 0.697 0.725
12 Pd 0.697 0.848 0.275
13 Pd 0.000 0.500 0.000
14 P 0.333 0.667 0.155
15 Pd 0.152 0.303 0.275

---

Below is Ca2CdP3Pt12 after structural relaxation, with properties calculated at the GGA-PBE level.

Summary:
Its crystal system is trigonal. The mass density is 12.44 g/cm³. The value obtained for the formation enthalpy at 0 K is -0.3145 eV per atom. The space group is R-3m (166). The value obtained for the volume is 350.5 Å³ per cell.

Unit cell a=7.539 b=7.539 c=7.539 alpha=67.33 beta=67.33 gamma=67.33
Fractional coordinates of all 18 atoms:
1 Pt 0.340 0.340 0.900
2 Pt 0.613 0.138 0.138
3 Pt 0.660 0.100 0.660
4 Pt 0.862 0.862 0.387
5 P 0.000 0.000 0.500
6 Pt 0.100 0.660 0.660
7 Pt 0.340 0.900 0.340
8 Pt 0.138 0.138 0.613
9 Pt 0.138 0.613 0.138
10 Cd 0.000 0.000 0.000
11 Pt 0.862 0.387 0.862
12 Ca 0.601 0.601 0.601
13 P 0.500 0.000 0.000
14 Ca 0.399 0.399 0.399
15 Pt 0.387 0.862 0.862
16 Pt 0.900 0.340 0.340
17 Pt 0.660 0.660 0.100
18 P 0.000 0.500 0.000

---

Below is Rb2CaCdP2 after structural relaxation, with properties calculated at the GGA-PBE level.

Summary:
Its crystal system is orthorhombic. The mass density is 3.48 g/cm³. The value obtained for the formation enthalpy at 0 K is -0.5646 eV per atom. The space group is Ibam (72). The value obtained for the volume is 368.3 Å³ per cell.

Unit cell a=6.766 b=6.893 c=9.256 alpha=111.86 beta=111.44 gamma=90.00
Fractional coordinates of all 12 atoms:
1 Rb 0.906 0.681 0.362
2 Ca 0.000 0.250 0.000
3 P 0.353 0.592 0.184
4 P 0.169 0.908 0.816
5 Cd 0.500 0.250 0.000
6 Ca 0.000 0.750 0.000
7 P 0.647 0.408 0.816
8 Rb 0.544 0.819 0.638
9 P 0.831 0.092 0.184
10 Rb 0.456 0.181 0.362
11 Cd 0.500 0.750 0.000
12 Rb 0.094 0.319 0.638

---

Below is CaCdRe2P after structural relaxation, with properties calculated at the GGA-PBE level.

Summary:
Its crystal system is tetragonal. The mass density is 9.07 g/cm³. The value obtained for the formation enthalpy at 0 K is 0.5336 eV per atom. The space group is P4/mmm (123). The value obtained for the volume is 101.7 Å³ per cell.

Unit cell a=4.461 b=5.111 c=4.461 alpha=90.00 beta=90.00 gamma=90.00
Fractional coordinates of all 5 atoms:
1 Re 0.500 0.000 0.000
2 Re 0.000 0.000 0.500
3 P 0.000 0.000 0.000
4 Cd 0.500 0.500 0.500
5 Ca 0.000 0.500 0.000

---

Below is CaCd2PRh2 after structural relaxation, with properties calculated at the GGA-PBE level.

Summary:
Its crystal system is tetragonal. The mass density is 6.71 g/cm³. The value obtained for the formation enthalpy at 0 K is -0.4520 eV per atom. The space group is P4/mmm (123). The value obtained for the volume is 124.1 Å³ per cell.

Unit cell a=4.516 b=4.516 c=6.085 alpha=90.00 beta=90.00 gamma=90.00
Fractional coordinates of all 6 atoms:
1 P 0.000 0.000 0.000
2 Rh 0.500 0.000 0.000
3 Cd 0.500 0.500 0.277
4 Ca 0.000 0.000 0.500
5 Cd 0.500 0.500 0.723
6 Rh 0.000 0.500 0.000

---

Below is CaCdP2S after structural relaxation, with properties calculated at the GGA-PBE level.

Summary:
Its crystal system is tetragonal. The mass density is 2.88 g/cm³. The raw formation energy comes out at 0.7059 eV per atom. The space group is P4/mmm (123). The value obtained for the volume is 142.0 Å³ per cell. The value obtained for the offset from the most stable computed form is 431.1 meV per atom.

Unit cell a=5.274 b=5.274 c=5.107 alpha=90.00 beta=90.00 gamma=90.00
Each line ends with the local moment (μB).
Fractional coordinates of all 5 atoms:
1 P 0.000 0.500 0.000  0.17
2 Ca 0.000 0.000 0.000  0.00
3 S 0.000 0.000 0.500  0.13
4 Cd 0.500 0.500 0.500  -0.01
5 P 0.500 0.000 0.000  0.17